The following is a DFT calculation (PBE) of Ca3La2PuN6 after structural relaxation.

Density   6.17 g cm⁻³
Electronic total energy   -93.83 eV per formula unit
Magnetic moment   2.00 μB per formula unit
Formation energy without anion corrections   -1.14 eV per atom

a b c (Å): 6.2642 10.8885 6.1008
angles (deg): 90.00 110.08 90.00
Closest atoms and distances in Å follow each position.
Space group C2/m (No. 12)
Symmetry-distinct sites (fractional):
Ca1 0.0000 0.0000 0.0000 [2 per cell]  4 N 2.53
Ca2 0.0000 0.3417 0.0000 [4 per cell]  4 N 2.50-2.52
La1 0.0000 0.1680 0.5000 [4 per cell]  6 N 2.56-2.57
Pu1 0.0000 0.5000 0.5000 [2 per cell]  6 N 2.20-2.25
N1 0.2198 0.5000 0.2863 [4 per cell]  1 Pu 2.20
N2 0.2215 0.3531 0.7250 [8 per cell]  1 Pu 2.25

---

The following is a DFT calculation (PBE) of Nd3DyHo5 after structural relaxation.

DFT formation energy   0.524 eV/atom
Density   7.13 g cm⁻³
Electronic total energy   -37.07 eV per formula unit
Magnetic moment   0.00 μB per formula unit

a b c (Å): 15.3486 11.3229 10.0106
angles (deg): 90.00 130.55 90.00
Closest atoms and distances in Å follow each position.
Space group C2/m (No. 12)
Symmetry-distinct sites (fractional):
Nd1 0.0000 0.0000 0.0000 [2 per cell]  2 Nd 3.00, 2 Dy 3.31
Nd2 0.0000 0.5000 0.5000 [2 per cell]  4 Ho 2.92-3.19, 2 Dy 3.26
Nd3 0.0086 0.0000 0.3082 [4 per cell]  1 Nd 3.00, 3 Ho 3.21-3.34
Nd4 0.0241 0.5000 0.8634 [4 per cell]  1 Dy 3.21, 2 Ho 3.26-3.39, 2 Nd 3.27-3.41
Dy1 0.2475 0.5000 0.8986 [4 per cell]  4 Nd 3.21-3.39, 2 Ho 3.39-3.44
Ho1 0.0000 0.2421 0.5000 [4 per cell]  1 Nd 2.92
Ho2 0.1588 0.2500 0.2520 [8 per cell]  3 Ho 3.29-3.67, 2 Nd 3.51-3.61
Ho3 0.2170 0.0000 0.7251 [4 per cell]  3 Nd 3.21-3.39, 3 Ho 3.30-3.34, 1 Dy 3.44
Ho4 0.2221 0.5000 0.5359 [4 per cell]  3 Nd 3.19-3.34, 3 Ho 3.29-3.30, 1 Dy 3.39

---

The following is a DFT calculation (PBE) of PrCoP2Rh after structural relaxation.

DFT formation energy   -0.971 eV/atom
Density   7.61 g cm⁻³
Electronic total energy   -34.91 eV per formula unit
Magnetic moment   1.18 μB per formula unit

a b c (Å): 4.0124 4.0124 9.8840
angles (deg): 90.00 90.00 90.00
Closest atoms and distances in Å follow each position.
Space group I-4m2 (No. 119)
Symmetry-distinct sites (fractional):
Pr1 0.0000 0.0000 0.0000 [2 per cell]  8 P 3.10, 4 Co 3.18, 4 Rh 3.18
Co1 0.0000 0.5000 0.2500 [2 per cell]  4 P 2.35
P1 0.0000 0.0000 0.3747 [4 per cell]  2 Co 2.35, 2 Rh 2.35, 1 P 2.48
Rh1 0.0000 0.5000 0.7500 [2 per cell]  4 P 2.35